Compound: K4Tm6F19
Source: Alexandria via LeMat-Bulk
Functional: PBE
Structure: relaxed

The raw formation energy is -3537 meV per atom. The calculation puts the theoretical density at 3.91 g/cm³. As for the crystal system: cubic.

It has space group I23 (No. 197), with a = 10.912 Å, b = 10.912 Å, c = 10.912 Å, α = 90.00°, β = 90.00° and γ = 90.00°. The distinct sites, in fractional coordinates, are K at (0.133, 0.133, 0.133), Tm at (0.000, 0.161, 0.500), F at (0.000, 0.000, 0.000), F at (0.000, 0.000, 0.379) and F at (0.003, 0.302, 0.361).

Compound: In2SnO5
Source: Alexandria via LeMat-Bulk
Functional: PBE
Structure: relaxed

The raw formation energy is -1534 meV per atom. The calculation puts the theoretical density at 6.78 g/cm³. As for the crystal system: orthorhombic.

It has space group Pnma (No. 62), with a = 7.344 Å, b = 3.718 Å, c = 15.369 Å, α = 90.00°, β = 90.00° and γ = 90.00°. The distinct sites, in fractional coordinates, are In at (0.092, 0.250, 0.092), In at (0.146, 0.250, 0.740), Sn at (0.122, 0.250, 0.427), O at (0.073, 0.750, 0.459), O at (0.092, 0.750, 0.184), O at (0.112, 0.750, 0.654), O at (0.143, 0.750, 0.008) and O at (0.194, 0.750, 0.828).

Compound: LiTaPb2
Source: Alexandria via LeMat-Bulk
Functional: PBE
Structure: relaxed

As for the formation energy from the elements: 0.342 eV per atom. The calculation puts the theoretical density at 11.70 g/cm³. As for the crystal system: tetragonal.

It has space group I-4m2 (No. 119), with a = 4.149 Å, b = 4.149 Å, c = 9.933 Å, α = 90.00°, β = 90.00° and γ = 90.00°. The distinct sites, in fractional coordinates, are Li at (0.000, 0.000, 0.000), Ta at (0.000, 0.500, 0.250), Pb at (0.000, 0.000, 0.500) and Pb at (0.000, 0.500, 0.750).

Compound: ReRuRh2
Source: Alexandria via LeMat-Bulk
Functional: PBE
Structure: relaxed

As for the formation energy from the elements: 0.015 eV per atom. The calculation puts the theoretical density at 14.36 g/cm³. As for the crystal system: tetragonal. The calculation puts the excess energy over the best structure of this formula in the dataset at 0.097 eV per atom.

It has space group P4/mmm (No. 123), with a = 2.696 Å, b = 2.696 Å, c = 7.846 Å, α = 90.00°, β = 90.00° and γ = 90.00°. The distinct sites, in fractional coordinates, are Re at (0.000, 0.000, 0.000), Ru at (0.000, 0.000, 0.500) and Rh at (0.500, 0.500, 0.251).

Compound: ZrV2Zn2
Source: Alexandria via LeMat-Bulk
Functional: PBE
Structure: relaxed

As for the formation energy from the elements: 0.203 eV per atom. The calculation puts the theoretical density at 6.44 g/cm³. As for the crystal system: tetragonal. The calculation puts the excess energy over the best structure of this formula in the dataset at 0.146 eV per atom.

It has space group I4/mmm (No. 139), with a = 3.947 Å, b = 3.947 Å, c = 10.716 Å, α = 90.00°, β = 90.00° and γ = 90.00°. The distinct sites, in fractional coordinates, are Zr at (0.000, 0.000, 0.000), V at (0.000, 0.000, 0.407) and Zn at (0.000, 0.500, 0.250).

Compound: Li3Ag2Pb3
Source: Alexandria via LeMat-Bulk
Functional: PBE
Structure: relaxed

As for the formation energy from the elements: -0.164 eV per atom. The calculation puts the theoretical density at 8.24 g/cm³. As for the crystal system: trigonal. The calculation puts the excess energy over the best structure of this formula in the dataset at 0.016 eV per atom.

It has space group R32 (No. 155, hexagonal axes), with a = 7.8716 Å, b = 7.8716 Å, c = 9.6628 Å, α = 90.00°, β = 90.00° and γ = 120.00°. The distinct sites, in fractional coordinates, are Li at (0.0000, 0.2681, 0.0000), Ag at (0.0000, 0.0000, 0.2364) and Pb at (0.0000, 0.7341, 0.5000).

Compound: AgAs3Ru
Source: Alexandria via LeMat-Bulk
Functional: PBE
Structure: relaxed

As for the formation energy from the elements: 0.569 eV per atom. The calculation puts the theoretical density at 6.50 g/cm³. As for the crystal system: cubic. The calculation puts the excess energy over the best structure of this formula in the dataset at 0.000 eV per atom.

It has space group Pm-3m (No. 221), with a = 4.804 Å, b = 4.804 Å, c = 4.804 Å, α = 90.00°, β = 90.00° and γ = 90.00°. The distinct sites, in fractional coordinates, are Ag at (0.000, 0.000, 0.000), As at (0.000, 0.500, 0.500) and Ru at (0.500, 0.500, 0.500).

Compound: TbCe5S6
Source: Alexandria via LeMat-Bulk
Functional: PBE
Structure: relaxed

The raw formation energy is -2042 meV per atom. The calculation puts the theoretical density at 6.42 g/cm³. As for the crystal system: monoclinic.

It has space group C2/m (No. 12), with a = 6.933 Å, b = 12.013 Å, c = 6.933 Å, α = 90.00°, β = 109.49° and γ = 90.00°. The distinct sites, in fractional coordinates, are Tb at (0.000, 0.000, 0.000), Ce at (0.000, 0.168, 0.500), Ce at (0.000, 0.334, 0.000), Ce at (0.000, 0.500, 0.500), S at (0.246, 0.000, 0.752) and S at (0.246, 0.164, 0.246).

Compound: Pr3AlGa6Au2
Source: Alexandria via LeMat-Bulk
Functional: PBE
Structure: relaxed

As for the formation energy from the elements: -0.387 eV per atom. The calculation puts the theoretical density at 7.88 g/cm³. As for the crystal system: trigonal.

It has space group P-3m1 (No. 164), with a = 5.9559 Å, b = 5.9559 Å, c = 8.6527 Å, α = 90.00°, β = 90.00° and γ = 120.00°. The distinct sites, in fractional coordinates, are Pr at (0.0000, 0.0000, 0.0000), Pr at (0.3333, 0.6667, 0.6168), Al at (0.0000, 0.0000, 0.5000), Ga at (0.1828, 0.3656, 0.2825) and Au at (0.3333, 0.6667, 0.0091).

Compound: RbBaNaPb
Source: Alexandria via LeMat-Bulk
Functional: PBE
Structure: relaxed

As for the formation energy from the elements: -0.219 eV per atom. The calculation puts the theoretical density at 4.81 g/cm³. As for the crystal system: cubic.

It has space group F-43m (No. 216), with a = 8.551 Å, b = 8.551 Å, c = 8.551 Å, α = 90.00°, β = 90.00° and γ = 90.00°. The distinct sites, in fractional coordinates, are Rb at (0.000, 0.000, 0.000), Ba at (0.250, 0.250, 0.250), Na at (0.250, 0.250, 0.750) and Pb at (0.000, 0.000, 0.500).

Compound: Li2Br
Source: Alexandria via LeMat-Bulk
Functional: PBE
Structure: relaxed

The raw formation energy is -883 meV per atom. The calculation puts the theoretical density at 2.34 g/cm³. As for the crystal system: monoclinic.

It has space group C2/m (No. 12), with a = 12.176 Å, b = 3.786 Å, c = 6.513 Å, α = 90.00°, β = 117.73° and γ = 90.00°. The distinct sites, in fractional coordinates, are Li at (0.099, 0.000, 0.388), Li at (0.136, 0.500, 0.763) and Br at (0.191, 0.500, 0.201).

Compound: Sm6TlZn
Source: Alexandria via LeMat-Bulk
Functional: PBE
Structure: relaxed

As for the formation energy from the elements: -0.144 eV per atom. The calculation puts the theoretical density at 8.02 g/cm³. As for the crystal system: tetragonal. The calculation puts the excess energy over the best structure of this formula in the dataset at 0.000 eV per atom.

It has space group I4/mmm (No. 139), with a = 5.172 Å, b = 5.172 Å, c = 18.152 Å, α = 90.00°, β = 90.00° and γ = 90.00°. The distinct sites, in fractional coordinates, are Sm at (0.000, 0.000, 0.250), Sm at (0.000, 0.500, 0.110), Tl at (0.000, 0.000, 0.000) and Zn at (0.000, 0.000, 0.500).

Compound: AlPb3S
Source: Alexandria via LeMat-Bulk
Functional: PBE
Structure: relaxed

The raw formation energy is 475 meV per atom. The calculation puts the theoretical density at 7.13 g/cm³. As for the crystal system: cubic. The calculation puts the excess energy over the best structure of this formula in the dataset at 0.130 eV per atom.

It has space group Pm-3m (No. 221), with a = 5.411 Å, b = 5.411 Å, c = 5.411 Å, α = 90.00°, β = 90.00° and γ = 90.00°. The distinct sites, in fractional coordinates, are Al at (0.000, 0.000, 0.000), Pb at (0.000, 0.000, 0.500) and S at (0.500, 0.500, 0.500).

Compound: Ga2NO
Source: Alexandria via LeMat-Bulk
Functional: PBE
Structure: relaxed

The raw formation energy is 267 meV per atom. The calculation puts the theoretical density at 6.69 g/cm³. As for the crystal system: cubic. The calculation puts the excess energy over the best structure of this formula in the dataset at 0.967 eV per atom.

It has space group Fm-3m (No. 225), with a = 5.520 Å, b = 5.520 Å, c = 5.520 Å, α = 90.00°, β = 90.00° and γ = 90.00°. The distinct sites, in fractional coordinates, are Ga at (0.250, 0.250, 0.250), N at (0.000, 0.000, 0.000) and O at (0.000, 0.000, 0.500).

Compound: SrLaTl
Source: Alexandria via LeMat-Bulk
Functional: PBE
Structure: relaxed

As for the formation energy from the elements: -0.275 eV per atom. The calculation puts the theoretical density at 6.46 g/cm³. As for the crystal system: orthorhombic.

It has space group Pmmn (No. 59, origin choice 2), with a = 4.648 Å, b = 5.056 Å, c = 9.424 Å, α = 90.00°, β = 90.00° and γ = 90.00°. The distinct sites, in fractional coordinates, are Sr at (0.250, 0.250, 0.133), La at (0.250, 0.750, 0.536) and Tl at (0.250, 0.250, 0.758).

Compound: Nb2Ni6Ge
Source: Alexandria via LeMat-Bulk
Functional: PBE
Structure: relaxed

As for the formation energy from the elements: -0.116 eV per atom. The calculation puts the theoretical density at 8.53 g/cm³. As for the crystal system: orthorhombic.

It has space group Cmmm (No. 65), with a = 7.048 Å, b = 12.527 Å, c = 2.692 Å, α = 90.00°, β = 90.00° and γ = 90.00°. The distinct sites, in fractional coordinates, are Nb at (0.000, 0.184, 0.000), Ni at (0.182, 0.341, 0.500), Ni at (0.187, 0.000, 0.000) and Ge at (0.000, 0.500, 0.500).

Compound: CsGa2Ge2
Source: Alexandria via LeMat-Bulk
Functional: PBE
Structure: relaxed

As for the formation energy from the elements: 0.134 eV per atom. The calculation puts the theoretical density at 5.40 g/cm³. As for the crystal system: tetragonal. The calculation puts the excess energy over the best structure of this formula in the dataset at 0.199 eV per atom.

It has space group P4/mbm (No. 127), with a = 8.869 Å, b = 8.869 Å, c = 3.265 Å, α = 90.00°, β = 90.00° and γ = 90.00°. The distinct sites, in fractional coordinates, are Cs at (0.000, 0.000, 0.000), Ga at (0.127, 0.373, 0.000) and Ge at (0.134, 0.634, 0.500).

Compound: KPdRhI2
Source: Alexandria via LeMat-Bulk
Functional: PBE
Structure: relaxed

The raw formation energy is 63 meV per atom. The calculation puts the theoretical density at 5.32 g/cm³. As for the crystal system: tetragonal.

It has space group P4/mmm (No. 123), with a = 5.554 Å, b = 5.554 Å, c = 5.082 Å, α = 90.00°, β = 90.00° and γ = 90.00°. The distinct sites, in fractional coordinates, are K at (0.000, 0.000, 0.000), Pd at (0.500, 0.500, 0.500), Rh at (0.500, 0.500, 0.000) and I at (0.000, 0.500, 0.500).

Compound: ZrCd22
Source: Alexandria via LeMat-Bulk
Functional: PBE
Structure: relaxed

As for the formation energy from the elements: 0.022 eV per atom. The calculation puts the theoretical density at 8.27 g/cm³. As for the crystal system: cubic.

It has space group Fd-3m (No. 227, origin choice 2), with a = 16.028 Å, b = 16.028 Å, c = 16.028 Å, α = 90.00°, β = 90.00° and γ = 90.00°. The distinct sites, in fractional coordinates, are Zr at (0.125, 0.125, 0.125), Cd at (0.000, 0.000, 0.000), Cd at (0.000, 0.000, 0.500), Cd at (0.016, 0.375, 0.875) and Cd at (0.062, 0.062, 0.317).

Compound: Sn4Hg3Pb2
Source: Alexandria via LeMat-Bulk
Functional: PBE
Structure: relaxed

As for the formation energy from the elements: 0.046 eV per atom. The calculation puts the theoretical density at 9.82 g/cm³. As for the crystal system: triclinic.

It has space group P-1 (No. 2), with a = 4.260 Å, b = 8.180 Å, c = 8.239 Å, α = 64.73°, β = 77.40° and γ = 89.82°. The distinct sites, in fractional coordinates, are Sn at (0.125, 0.130, 0.283), Sn at (0.323, 0.544, 0.830), Hg at (0.000, 0.500, 0.500), Hg at (0.437, 0.187, 0.600) and Pb at (0.223, 0.812, 0.067).